# 1
Material: Sm2GdSi
Method: DFT, GGA-PBE
State: relaxed

Size of the total moment   8.4 μB/f.u.
Energy above the most stable polymorph in this dataset   0.136 eV per atom
ΔE_f (raw)   -0.131 eV/atom
Space-group type   No. 166

Cell: 3.8337 3.8337 10.0385 Å, 78.99 78.99 60.00°
Last column: nearest neighbours and their distance in Å.
Sites, in units of the cell vectors:
1 Gd 0.5000 0.5000 0.5000  6 Sm 3.75, 6 Gd 3.83
2 Sm 0.7304 0.7304 0.8087  3 Si 2.90
3 Sm 0.2696 0.2696 0.1913  3 Si 2.90
4 Si 0.0000 0.0000 0.0000  6 Sm 2.90

***

# 2
Material: Er2LuSn
Method: DFT, GGA-PBE
State: relaxed

Size of the total moment   0.0 μB/f.u.
Energy above the most stable polymorph in this dataset   0.088 eV per atom
Formation energy   -0.30 eV/atom
Space-group type   No. 123

Cell: 3.5326 3.5326 9.0876 Å, 90.00 90.00 90.00°
Last column: nearest neighbours and their distance in Å.
Sites, in units of the cell vectors:
1 Sn 0.5000 0.5000 0.0000  8 Er 3.27, 4 Sn 3.53
2 Er 0.0000 0.0000 0.7681  4 Sn 3.27, 4 Lu 3.49, 4 Er 3.53
3 Er 0.0000 0.0000 0.2319  4 Sn 3.27, 4 Lu 3.49, 4 Er 3.53
4 Lu 0.5000 0.5000 0.5000  8 Er 3.49, 4 Lu 3.53

***

# 3
Material: K2RuBr
Method: DFT, GGA-PBE
State: relaxed

Size of the total moment   1.0 μB/f.u.
Energy above the most stable polymorph in this dataset   0.063 eV per atom
ΔE_f (raw)   0.252 eV/atom
Space-group type   No. 44

Cell: 6.1210 6.1210 6.1210 Å, 136.23 123.86 73.78°
Last column: nearest neighbours and their distance in Å.
Sites, in units of the cell vectors:
1 Br 0.6623 0.1623 0.5000  2 Ru 2.40
2 K 0.9711 0.9711 0.0000  4 K 3.43-3.80, 4 Br 3.44-3.79, 1 Ru 3.78
3 K 0.2814 0.7814 0.5000  4 K 3.43-3.80, 4 Ru 3.46-3.75, 1 Br 3.73
4 Ru 0.5852 0.5852 0.0000  2 Br 2.40

***

# 4
Material: Y4InCl
Method: DFT, GGA-PBE
State: relaxed

Size of the total moment   0.0 μB/f.u.
ΔE_f (raw)   0.169 eV/atom
Space-group type   No. 216

Cell: 6.4106 6.4106 6.4106 Å, 60.00 60.00 60.00°
Last column: nearest neighbours and their distance in Å.
Sites, in units of the cell vectors:
1 Cl 0.7500 0.7500 0.7500  12 Y 3.76, 4 In 3.93
2 Y 0.3728 0.8815 0.3728  6 Y 3.15-3.26
3 Y 0.3728 0.3728 0.3728  6 Y 3.15-3.26
4 Y 0.3728 0.3728 0.8815  6 Y 3.15-3.26
5 Y 0.8815 0.3728 0.3728  6 Y 3.15-3.26
6 In 0.0000 0.0000 0.0000  12 Y 3.75, 4 Cl 3.93